[1]
Material: SiNiIN2
Method: DFT, PBE
State: relaxed

Cell: 3.8511 3.8511 5.7045 Å, 90.00 90.00 90.00°
Last column: nearest neighbours and their distance in Å.
Atoms (fractional coordinates):
I  0.0000  0.0000  0.5000  4 Si 2.72, 2 Ni 2.85
N  0.0000  0.5000  0.0000  2 Ni 1.93
N  0.5000  0.0000  0.0000  2 Ni 1.93
Si  0.5000  0.5000  0.5000  4 I 2.72
Ni  0.0000  0.0000  0.0000  4 N 1.93

Calculated values
The calculation puts the offset from the most stable computed form at 856 meV per atom. Its electronic total energy is -4.34 eV/atom. Its space group is P4/mmm. Its density of states at the Fermi level is 1.71 states/eV/cell.

---

[2]
Material: SiNiIN2
Method: DFT, PBE
State: relaxed

Cell: 3.4891 3.4891 7.4096 Å, 90.00 90.00 90.00°
Last column: nearest neighbours and their distance in Å.
Atoms (fractional coordinates):
N  0.5000  0.0000  0.0000  2 Si 1.74
N  0.0000  0.5000  0.0000  2 Si 1.74
Ni  0.5000  0.5000  0.5000  4 I 2.47
Si  0.0000  0.0000  0.0000  4 N 1.74
I  0.0000  0.0000  0.5000  4 Ni 2.47

Calculated values
The calculation puts the offset from the most stable computed form at 0 meV per atom. Its electronic total energy is -5.19 eV/atom. Its space group is P4/mmm. Its density of states at the Fermi level is 3.67 states/eV/cell.

---

[3]
Material: NiSnIN2
Method: DFT, PBE
State: relaxed

Cell: 4.1468 4.1468 5.2619 Å, 90.00 90.00 90.00°
Last column: nearest neighbours and their distance in Å.
Atoms (fractional coordinates):
Sn  0.5000  0.5000  0.5000  4 I 2.93
N  0.0000  0.5000  0.0000  2 Ni 2.07
N  0.5000  0.0000  0.0000  2 Ni 2.07
Ni  0.0000  0.0000  0.0000  4 N 2.07
I  0.0000  0.0000  0.5000  2 Ni 2.63, 4 Sn 2.93

Calculated values
The calculation puts the offset from the most stable computed form at 0 meV per atom. Its electronic total energy is -4.20 eV/atom. Its space group is P4/mmm. Its density of states at the Fermi level is 2.52 states/eV/cell.